! Ca2AsPt (PBE, optimized geometry); values from VASP
&SYSTEM
  ibrav = 0, nat = 4, ntyp = 3
/
ATOMIC_SPECIES
Ca 40.08 Ca.upf
As 74.92 As.upf
Pt 195.08 Pt.upf
ATOMIC_POSITIONS crystal
Ca 0.505 0.505 0.505
Ca 0.995 0.995 0.995
As 0.750 0.750 0.750
Pt 0.250 0.250 0.250
CELL_PARAMETERS angstrom
7.882 0.000 0.000
6.877 3.852 0.000
6.877 1.795 3.409
! Energy of formation ... -70.4 kJ per mole of atoms
! Density ... 5.62 Mg/m³
! Calculated total energy ... -17.61 eV/f.u.